No. 1
RbV3Se3 (PBE, relaxed); ρ = 4.7 Mg/m³; formation energy without anion corrections = -0.76 eV/atom; symmetry = P6_3/m (176)
1.0
-3.802 2.129 -0.250
-4.452 -7.535 3.524
3.341 6.647 5.803
Rb V Se
2 6 6
Direct
0.750 0.333 0.667
0.250 0.667 0.333
0.750 0.028 0.174
0.750 0.147 0.972
0.750 0.826 0.853
0.250 0.972 0.826
0.250 0.853 0.028
0.250 0.174 0.147
0.750 0.335 0.282
0.750 0.947 0.665
0.750 0.718 0.053
0.250 0.665 0.718
0.250 0.053 0.335
0.250 0.282 0.947

***

No. 2
CaTaNb2 (PBE, relaxed); energy of formation from the pure elements = 427 kJ/mol of formula units; ρ = 7.7 Mg/m³; offset from the most stable computed form = 0.497 eV/atom; symmetry = I-42d (122)
1.0
-1.322 2.666 2.948
-3.003 1.365 -2.582
-8.409 -5.009 3.735
Nb Ca Ta
4 2 2
Direct
0.653 0.125 0.250
0.097 0.625 0.250
0.375 0.347 0.750
0.875 0.903 0.750
0.500 0.500 0.000
0.250 0.750 0.500
0.000 0.000 0.000
0.750 0.250 0.500

***

No. 3
TlZn2Au2 (PBE, relaxed); energy of formation from the pure elements = -43 kJ/mol of formula units; ρ = 12.7 Mg/m³; offset from the most stable computed form = 0.020 eV/atom; symmetry = P4/mbm (127)
1.0
-5.234 3.730 4.738
-3.383 -7.010 1.781
1.870 -0.315 2.314
Tl Au Zn
2 4 4
Direct
0.000 0.000 0.000
0.500 0.500 0.000
0.169 0.669 0.500
0.669 0.831 0.500
0.831 0.331 0.500
0.331 0.169 0.500
0.375 0.875 0.000
0.875 0.625 0.000
0.625 0.125 0.000
0.125 0.375 0.000

***

No. 4
SrAgB2I (PBE, relaxed); ρ = 4.4 Mg/m³; formation energy without anion corrections = 0.91 eV/atom; symmetry = P4/mmm (123)
1.0
-3.156 0.935 2.858
1.377 -5.814 3.423
2.878 2.140 2.478
I Sr B Ag
1 1 2 1
Direct
0.000 0.500 0.000
0.500 0.500 0.500
0.000 0.000 0.500
0.500 0.000 0.000
0.000 0.000 0.000

***

No. 5
Ti2OsRu (PBE, relaxed); energy of formation from the pure elements = 37 kJ/mol of formula units; ρ = 10.1 Mg/m³; symmetry = I-42d (122)
1.0
-1.599 3.830 5.378
-3.395 -5.223 2.710
-0.190 -1.532 5.325
Ru Os Ti
2 2 4
Direct
0.500 0.500 0.000
0.250 0.750 0.500
0.000 0.000 0.000
0.750 0.250 0.500
0.621 0.125 0.250
0.129 0.625 0.250
0.375 0.379 0.750
0.875 0.871 0.750